CoNiPd3 | SCAN | PBEsol geometry

energy = -25.264 eV/atom
theoretical density = 8.47 g/cm³
N(E_F) = 7.2 states/eV per cell
E_form = 1.0963 eV/atom
symmetry = Pm-3m (221)

a = 4.409 Å, b = 4.409 Å, c = 4.409 Å
α = 90.00°, β = 90.00°, γ = 90.00°
Last column: magnetic moment on the atom in μB.
Sites, in units of the cell vectors:
Pd1 0.000 0.500 0.000  0.40
Pd2 0.500 0.000 0.000  0.40
Pd3 0.000 0.000 0.500  0.40
Ni1 0.500 0.500 0.500  1.11
Co1 0.000 0.000 0.000  2.27


TcOs2W | SCAN | PBEsol geometry

energy = -61.668 eV/atom
theoretical density = 18.78 g/cm³
N(E_F) = 5.4 states/eV per cell
relative energy among the computed polymorphs = 452 meV per atom
E_form = 0.4592 eV/atom
symmetry = Fm-3m (225)

a = 4.359 Å, b = 4.359 Å, c = 4.359 Å
α = 60.00°, β = 60.00°, γ = 60.00°
Sites, in units of the cell vectors:
W1 0.500 0.500 0.500
Os1 0.750 0.750 0.750
Os2 0.250 0.250 0.250
Tc1 0.000 0.000 0.000


CaInI2N | SCAN | PBEsol geometry

energy = -25.410 eV/atom
theoretical density = 4.17 g/cm³
N(E_F) = 1.1 states/eV per cell
symmetry = P4/mmm (123)

a = 4.548 Å, b = 6.083 Å, c = 6.083 Å
α = 90.00°, β = 90.00°, γ = 90.00°
Last column: magnetic moment on the atom in μB.
Sites, in units of the cell vectors:
In1 0.500 0.500 0.500  0.00
Ca1 0.000 0.000 0.000  -0.01
I1 0.000 0.500 0.000  0.04
I2 0.000 0.000 0.500  0.04
N1 0.500 0.000 0.000  1.18


ZrCu2Ru | SCAN | PBEsol geometry

energy = -24.035 eV/atom
theoretical density = 9.32 g/cm³
N(E_F) = 2.7 states/eV per cell
relative energy among the computed polymorphs = 113 meV per atom
E_form = -0.0538 eV/atom
symmetry = Pmmm (47)

a = 2.873 Å, b = 3.833 Å, c = 5.166 Å
α = 90.00°, β = 89.93°, γ = 90.00°
Sites, in units of the cell vectors:
Cu1 0.000 0.000 0.232
Cu2 0.000 0.000 0.768
Zr1 0.500 0.500 0.500
Ru1 0.500 0.500 0.000